Below is crystalline NaAlC at its relaxed geometry, with properties calculated at the PBE level.

Properties
crystal system: orthorhombic
density of states at the Fermi level: 3.72 states/eV per cell
E_form: 354.0 meV/atom
theoretical density: 2.1 g cm⁻³

a = 3.566 Å, b = 21.029 Å, c = 2.660 Å
α = 90.00°, β = 90.00°, γ = 90.00°
Space group Cmcm (No. 63)
Unique sites:
1 Na 0.000 0.085 0.250
2 Al 0.000 0.290 0.750
3 C 0.000 0.493 0.250

---

Below is crystalline NaAlC at its relaxed geometry, with properties calculated at the PBE level.

Properties
crystal system: hexagonal
density of states at the Fermi level: 0.12 states/eV per cell
E_form: 225.6 meV/atom
theoretical density: 2.2 g cm⁻³

a = 3.4310 Å, b = 3.4310 Å, c = 9.1163 Å
α = 90.00°, β = 90.00°, γ = 120.00°
Space group P6_3/mmc (No. 194)
Unique sites:
1 Na 0.0000 0.0000 0.0000
2 Al 0.3333 0.6667 0.2500
3 C 0.3333 0.6667 0.7500

---

Below is crystalline NaAlC at its relaxed geometry, with properties calculated at the PBE level.

Properties
crystal system: monoclinic
density of states at the Fermi level: 2.39 states/eV per cell
E_form: 154.8 meV/atom
theoretical density: 2.0 g cm⁻³

a = 6.002 Å, b = 3.465 Å, c = 9.875 Å
α = 90.00°, β = 100.56°, γ = 90.00°
Space group C2/m (No. 12)
Unique sites:
1 Na 0.095 0.000 0.315
2 Al 0.195 0.500 0.092
3 C 0.127 0.500 0.867

---

Below is crystalline NaAlC at its relaxed geometry, with properties calculated at the PBE level.

Properties
crystal system: triclinic
density of states at the Fermi level: 0.80 states/eV per cell
E_form: 380.9 meV/atom
theoretical density: 2.0 g cm⁻³

a = 3.392 Å, b = 4.742 Å, c = 6.596 Å
α = 89.76°, β = 89.81°, γ = 71.64°
Space group P1 (No. 1)
Unique sites:
1 Na 0.000 0.000 0.000
2 Na 0.311 0.453 0.279
3 Al 0.029 0.017 0.523
4 Al 0.663 0.550 0.724
5 C 0.269 0.301 0.727
6 C 0.542 0.984 0.699

---

Below is crystalline NaAlC at its relaxed geometry, with properties calculated at the PBE level.

Properties
crystal system: triclinic
density of states at the Fermi level: 1.67 states/eV per cell
E_form: 317.1 meV/atom
theoretical density: 1.9 g cm⁻³

a = 3.427 Å, b = 3.427 Å, c = 10.685 Å
α = 86.64°, β = 86.49°, γ = 61.49°
Space group P1 (No. 1)
Unique sites:
1 Na 0.000 0.000 0.000
2 Na 0.370 0.376 0.715
3 Al 0.075 0.073 0.465
4 Al 0.638 0.633 0.265
5 C 0.296 0.291 0.296
6 C 0.418 0.415 0.436

---

Below is crystalline NaAlC at its relaxed geometry, with properties calculated at the PBE level.

Properties
crystal system: orthorhombic
density of states at the Fermi level: 2.59 states/eV per cell
E_form: 857.6 meV/atom
theoretical density: 1.8 g cm⁻³

a = 2.728 Å, b = 24.874 Å, c = 3.409 Å
α = 90.00°, β = 90.00°, γ = 90.00°
Space group Cmmm (No. 65)
Unique sites:
1 Na 0.000 0.092 0.000
2 Al 0.000 0.301 0.500
3 C 0.000 0.026 0.500

---

Below is crystalline NaAlC at its relaxed geometry, with properties calculated at the PBE level.

Properties
crystal system: orthorhombic
density of states at the Fermi level: 0.12 states/eV per cell
E_form: 341.6 meV/atom
theoretical density: 1.9 g cm⁻³

a = 5.005 Å, b = 3.743 Å, c = 11.819 Å
α = 90.00°, β = 90.00°, γ = 90.00°
Space group Pnma (No. 62)
Unique sites:
1 Na 0.041 0.250 0.175
2 Al 0.040 0.750 0.431
3 C 0.046 0.250 0.395

---

Below is crystalline NaAlC at its relaxed geometry, with properties calculated at the PBE level.

Properties
crystal system: orthorhombic
density of states at the Fermi level: 0.24 states/eV per cell
E_form: 639.3 meV/atom
theoretical density: 1.5 g cm⁻³

a = 4.695 Å, b = 10.521 Å, c = 5.504 Å
α = 90.00°, β = 90.00°, γ = 90.00°
Space group Cmcm (No. 63)
Unique sites:
1 Na 0.000 0.204 0.250
2 Al 0.000 0.500 0.000
3 C 0.000 0.379 0.750

---

Look up the E_form of the fifth one. 317.1 meV/atom